Record 1
First-principles (GGA-PBE) data for an optimized crystal structure of HoAgSnS3, as listed in the Open Quantum Materials Database.

Summary:
The density is 5.9 g/cm3. As for the total energy: -4.923 eV per atom. The crystal system is orthorhombic. Its offset from the most stable computed form is 0.22 eV/f.u.

Lattice parameters (Å, degrees): 10.520 4.026 13.026 90.00 90.00 90.00
Sites, in units of the cell vectors:
Ho 0.014 0.250 0.234
Ho 0.486 0.750 0.734
Ho 0.514 0.250 0.266
Ho 0.986 0.750 0.766
Ag 0.242 0.250 0.707
Ag 0.258 0.750 0.207
Ag 0.742 0.250 0.793
Ag 0.758 0.750 0.293
Sn 0.197 0.750 0.482
Sn 0.303 0.250 0.982
Sn 0.697 0.750 0.018
Sn 0.803 0.250 0.518
S 0.034 0.250 0.614
S 0.061 0.750 0.106
S 0.245 0.750 0.836
S 0.255 0.250 0.336
S 0.439 0.250 0.606
S 0.466 0.750 0.114
S 0.534 0.250 0.886
S 0.561 0.750 0.394
S 0.745 0.750 0.664
S 0.755 0.250 0.164
S 0.939 0.250 0.894
S 0.966 0.750 0.386



Record 2
First-principles (GGA-PBE) data for an optimized crystal structure of HoAgSnS3, as listed in the Open Quantum Materials Database.

Summary:
The density is 5.6 g/cm3. As for the total energy: -4.960 eV per atom. The crystal system is orthorhombic. Its offset from the most stable computed form is 0.00 eV/f.u.

Lattice parameters (Å, degrees): 13.042 4.031 10.984 90.00 90.00 90.00
Sites, in units of the cell vectors:
Ho 0.011 0.250 0.159
Ho 0.489 0.750 0.659
Ho 0.511 0.250 0.341
Ho 0.989 0.750 0.841
Ag 0.025 0.750 0.411
Ag 0.475 0.250 0.911
Ag 0.525 0.750 0.089
Ag 0.975 0.250 0.589
Sn 0.242 0.250 0.530
Sn 0.258 0.750 0.030
Sn 0.742 0.250 0.970
Sn 0.758 0.750 0.470
S 0.108 0.750 0.631
S 0.110 0.250 0.940
S 0.139 0.750 0.226
S 0.361 0.250 0.726
S 0.390 0.750 0.440
S 0.392 0.250 0.131
S 0.608 0.750 0.869
S 0.610 0.250 0.560
S 0.639 0.750 0.274
S 0.861 0.250 0.774
S 0.890 0.750 0.060
S 0.892 0.250 0.369



Record 3
First-principles (GGA-PBE) data for an optimized crystal structure of HoAgSnS3, as listed in the Open Quantum Materials Database.

Summary:
The density is 6.0 g/cm3. As for the total energy: -4.943 eV per atom. The crystal system is monoclinic. Its offset from the most stable computed form is 0.10 eV/f.u.

Lattice parameters (Å, degrees): 8.821 8.821 8.330 103.45 103.45 25.55
Sites, in units of the cell vectors:
Ho 0.165 0.165 0.089
Ho 0.835 0.835 0.911
Ag 0.474 0.474 0.785
Ag 0.526 0.526 0.215
Sn 0.133 0.133 0.575
Sn 0.867 0.867 0.425
S 0.000 0.000 0.000
S 0.316 0.316 0.676
S 0.328 0.328 0.142
S 0.500 0.500 0.500
S 0.672 0.672 0.858
S 0.684 0.684 0.324



Record 4
First-principles (GGA-PBE) data for an optimized crystal structure of HoAgSnTeS2, as listed in the Open Quantum Materials Database.

Summary:
The density is 6.2 g/cm3. As for the total energy: -4.629 eV per atom. The crystal system is orthorhombic.

Lattice parameters (Å, degrees): 7.181 7.181 11.162 90.00 90.00 147.28
Sites, in units of the cell vectors:
Ho 0.000 0.000 0.000
Ho 0.000 0.000 0.500
Ag 0.476 0.524 0.750
Ag 0.524 0.476 0.250
Sn 0.208 0.792 0.250
Sn 0.792 0.208 0.750
Te 0.117 0.883 0.750
Te 0.883 0.117 0.250
S 0.374 0.626 0.563
S 0.374 0.626 0.937
S 0.626 0.374 0.063
S 0.626 0.374 0.437



Record 5
First-principles (GGA-PBE) data for an optimized crystal structure of HoAgSnTe2S, as listed in the Open Quantum Materials Database.

Summary:
The density is 7.0 g/cm3. As for the total energy: -4.382 eV per atom. The crystal system is orthorhombic.

Lattice parameters (Å, degrees): 7.535 7.535 10.336 90.00 90.00 146.69
Sites, in units of the cell vectors:
Ho 0.000 0.000 0.000
Ho 0.000 0.000 0.500
Ag 0.482 0.518 0.750
Ag 0.518 0.482 0.250
Sn 0.274 0.726 0.250
Sn 0.726 0.274 0.750
Te 0.350 0.650 0.554
Te 0.350 0.650 0.946
Te 0.650 0.350 0.054
Te 0.650 0.350 0.446
S 0.081 0.919 0.750
S 0.919 0.081 0.250



Record 6
First-principles (GGA-PBE) data for an optimized crystal structure of SrHoAgTe2S, as listed in the Open Quantum Materials Database.

Summary:
The density is 6.4 g/cm3. As for the total energy: -4.571 eV per atom. The crystal system is orthorhombic.

Lattice parameters (Å, degrees): 7.604 7.604 10.615 90.00 90.00 147.00
Sites, in units of the cell vectors:
Sr 0.228 0.772 0.750
Sr 0.772 0.228 0.250
Ho 0.500 0.500 0.000
Ho 0.500 0.500 0.500
Ag 0.020 0.980 0.250
Ag 0.980 0.020 0.750
Te 0.147 0.853 0.055
Te 0.147 0.853 0.445
Te 0.853 0.147 0.555
Te 0.853 0.147 0.945
S 0.423 0.577 0.250
S 0.577 0.423 0.750



Record 7
First-principles (GGA-PBE) data for an optimized crystal structure of SrHoAgTeS2, as listed in the Open Quantum Materials Database.

Summary:
The density is 5.6 g/cm3. As for the total energy: -4.834 eV per atom. The crystal system is orthorhombic.

Lattice parameters (Å, degrees): 7.533 7.533 11.012 90.00 90.00 148.63
Sites, in units of the cell vectors:
Sr 0.207 0.793 0.750
Sr 0.793 0.207 0.250
Ho 0.000 0.000 0.000
Ho 0.000 0.000 0.500
Ag 0.486 0.514 0.250
Ag 0.514 0.486 0.750
Te 0.113 0.887 0.250
Te 0.887 0.113 0.750
S 0.380 0.620 0.069
S 0.380 0.620 0.431
S 0.620 0.380 0.569
S 0.620 0.380 0.931



Record 8
First-principles (GGA-PBE) data for an optimized crystal structure of HoTlAgS3, as listed in the Open Quantum Materials Database.

Summary:
The density is 6.6 g/cm3. As for the total energy: -4.596 eV per atom. The crystal system is orthorhombic.

Lattice parameters (Å, degrees): 6.963 6.963 10.675 90.00 90.00 146.34
Sites, in units of the cell vectors:
Ho 0.000 0.000 0.000
Ho 0.000 0.000 0.500
Tl 0.282 0.718 0.750
Tl 0.718 0.282 0.250
Ag 0.411 0.589 0.250
Ag 0.589 0.411 0.750
S 0.045 0.955 0.250
S 0.364 0.636 0.030
S 0.364 0.636 0.470
S 0.636 0.364 0.530
S 0.636 0.364 0.970
S 0.955 0.045 0.750